1.
Sm3ErTh: optimized geometry, GGA-PBE.

## Properties
- Crystal system: triclinic
- Energy relative to the lowest polymorph listed for this composition: 0 meV per atom
- Symmetry: P-1 (2)
- Energy relative to the elements: 0.27 eV per formula unit

Geometry as extended XYZ:
```
10
Lattice="6.304 0.000 0.000 -3.142 6.085 0.000 -0.005 -3.403 8.648" Properties=species:S:1:pos:R:3 pbc="T T T"
Sm -0.590 1.622 0.478
Sm 0.536 -0.622 3.025
Sm 0.570 0.491 6.545
Sm 2.586 2.192 2.103
Sm 2.620 3.304 5.623
Sm 3.747 1.061 8.171
Er -0.497 2.735 3.951
Er 3.653 -0.052 4.697
Th 2.694 -2.284 7.324
Th 0.463 4.967 1.324
```

2.
Sm3Er2Th: optimized geometry, GGA-PBE.

## Properties
- Crystal system: orthorhombic
- Energy relative to the lowest polymorph listed for this composition: 374 meV per atom
- Symmetry: Ibam (72)
- Energy relative to the elements: 3.66 eV per formula unit

Geometry as extended XYZ:
```
12
Lattice="-5.512 6.014 3.428 5.512 -6.014 3.428 5.512 6.014 -3.428" Properties=species:S:1:pos:R:3 pbc="T T T"
Sm 5.512 -2.795 1.714
Sm 0.000 0.000 1.714
Sm 5.512 2.795 1.714
Sm 0.000 3.218 1.714
Sm 0.000 0.000 5.142
Sm 0.000 8.809 1.714
Er 2.678 2.289 0.000
Er 2.678 -2.289 3.428
Er 2.834 8.303 0.000
Er 2.834 3.725 3.428
Th 5.512 0.000 0.000
Th 0.000 6.014 0.000
```

3.
Sm9ErTh2: optimized geometry, GGA-PBE.

## Properties
- Crystal system: tetragonal
- Symmetry: P4/mmm (123)
- Energy relative to the elements: 0.51 eV per formula unit

Geometry as extended XYZ:
```
12
Lattice="5.100 0.000 0.000 0.000 5.100 0.000 0.000 0.000 15.301" Properties=species:S:1:pos:R:3 pbc="T T T"
Sm 0.000 0.000 0.000
Sm 0.000 0.000 5.088
Sm 0.000 0.000 10.213
Sm 0.000 2.550 2.565
Sm 0.000 2.550 7.650
Sm 0.000 2.550 12.736
Sm 2.550 0.000 2.565
Sm 2.550 0.000 7.650
Sm 2.550 0.000 12.736
Er 2.550 2.550 0.000
Th 2.550 2.550 5.100
Th 2.550 2.550 10.201
```

4.
Sm4Er10Th: optimized geometry, GGA-PBE.

## Properties
- Crystal system: tetragonal
- Symmetry: I4/mmm (139)
- Energy relative to the elements: 3.82 eV per formula unit

Geometry as extended XYZ:
```
15
Lattice="-5.572 5.572 4.007 5.572 -5.572 4.007 5.572 5.572 -4.007" Properties=species:S:1:pos:R:3 pbc="T T T"
Sm 2.511 2.511 0.000
Sm 3.062 -3.062 4.007
Sm -3.062 3.062 4.007
Sm 3.062 3.062 4.007
Er 5.572 3.267 -1.632
Er 5.572 0.000 2.003
Er 3.267 5.572 -1.632
Er 2.305 0.000 2.375
Er 5.572 3.267 1.632
Er 0.000 2.305 2.375
Er 3.267 5.572 1.632
Er 2.305 0.000 5.639
Er 0.000 5.572 2.003
Er 0.000 2.305 5.639
Th 0.000 0.000 0.000
```

5.
Sm4ErTh: optimized geometry, GGA-PBE.

## Properties
- Crystal system: monoclinic
- Energy relative to the lowest polymorph listed for this composition: 0 meV per atom
- Symmetry: C2/m (12)
- Energy relative to the elements: 0.20 eV per formula unit

Geometry as extended XYZ:
```
6
Lattice="5.979 -1.795 0.000 5.979 1.795 0.000 -4.325 0.000 9.221" Properties=species:S:1:pos:R:3 pbc="T T T"
Sm 0.526 0.000 3.040
Sm -1.640 0.000 7.707
Sm 9.274 0.000 1.514
Sm 7.108 0.000 6.181
Er 3.817 0.000 4.610
Th 5.979 0.000 0.000
```

6.
SmErTh: optimized geometry, GGA-PBE.

## Properties
- Crystal system: trigonal
- Energy relative to the lowest polymorph listed for this composition: 0 meV per atom
- Symmetry: P3m1 (156)
- Energy relative to the elements: 0.08 eV per formula unit

Geometry as extended XYZ:
```
3
Lattice="3.579 0.000 0.000 -1.790 3.100 0.000 0.000 0.000 8.724" Properties=species:S:1:pos:R:3 pbc="T T T"
Sm 0.000 0.000 0.000
Er 1.790 1.033 3.026
Th 0.000 2.067 5.832
```

7.
SmEr7Th2: optimized geometry, GGA-PBE.

## Properties
- Crystal system: orthorhombic
- Symmetry: Cmmm (65)
- Energy relative to the elements: 7.77 eV per formula unit

Geometry as extended XYZ:
```
10
Lattice="4.325 -8.312 0.000 4.325 8.312 0.000 0.000 0.000 5.475" Properties=species:S:1:pos:R:3 pbc="T T T"
Sm 0.000 0.000 0.000
Er 1.521 1.838 2.738
Er 4.325 4.877 0.000
Er 1.521 -1.838 2.738
Er 4.325 0.000 2.738
Er 7.129 1.838 2.738
Er 4.325 -4.877 0.000
Er 7.129 -1.838 2.738
Th 4.325 3.404 2.738
Th 4.325 -3.404 2.738
```

8.
SmErTm3Th: optimized geometry, GGA-PBE.

## Properties
- Crystal system: monoclinic
- Symmetry: P2_1/m (11)
- Energy relative to the elements: -0.01 eV per formula unit

Geometry as extended XYZ:
```
12
Lattice="9.438 0.000 0.000 0.000 3.569 0.000 -4.078 0.000 11.100" Properties=species:S:1:pos:R:3 pbc="T T T"
Sm 0.305 0.892 3.821
Sm 5.055 2.676 7.279
Er -1.319 0.892 6.948
Er 6.679 2.676 4.152
Tm -2.996 0.892 10.036
Tm 2.437 2.676 1.660
Tm 1.655 2.676 6.651
Tm 3.705 0.892 4.450
Tm 2.924 0.892 9.440
Tm 8.356 2.676 1.064
Th -0.033 2.676 9.722
Th 5.393 0.892 1.378
```

9.
Sm5Er2TmTh: optimized geometry, GGA-PBE.

## Properties
- Crystal system: orthorhombic
- Symmetry: Cmc2_1 (36)
- Energy relative to the elements: 1.41 eV per formula unit

Geometry as extended XYZ:
```
18
Lattice="2.796 -10.173 0.000 2.796 10.173 0.000 0.000 0.000 10.563" Properties=species:S:1:pos:R:3 pbc="T T T"
Sm 2.796 9.896 5.281
Sm 2.796 4.543 8.380
Sm 2.796 4.194 1.970
Sm 2.796 2.331 5.345
Sm 2.796 0.363 2.393
Sm 2.796 -0.363 7.675
Sm 2.796 -2.331 0.064
Sm 2.796 -4.194 7.251
Sm 2.796 -4.543 3.098
Sm 2.796 -9.896 0.000
Er 2.796 7.898 2.333
Er 2.796 7.842 8.349
Er 2.796 -7.842 3.067
Er 2.796 -7.898 7.614
Tm 2.796 1.923 9.956
Tm 2.796 -1.923 4.674
Th 2.796 6.123 5.210
Th 2.796 -6.123 10.492
```

10.
Sm2ErTm4Th: optimized geometry, GGA-PBE.

## Properties
- Crystal system: orthorhombic
- Symmetry: Pmmm (47)
- Energy relative to the elements: 0.26 eV per formula unit

Geometry as extended XYZ:
```
8
Lattice="5.025 0.000 0.000 0.000 5.040 0.000 0.000 0.000 9.889" Properties=species:S:1:pos:R:3 pbc="T T T"
Sm 0.000 0.000 0.000
Sm 2.513 2.520 4.945
Er 0.000 0.000 4.945
Tm 0.000 2.520 2.452
Tm 0.000 2.520 7.437
Tm 2.513 0.000 2.450
Tm 2.513 0.000 7.440
Th 2.513 2.520 0.000
```

11.
Sm6ErTm2Th3: optimized geometry, GGA-PBE.

## Properties
- Crystal system: monoclinic
- Symmetry: C2/m (12)
- Energy relative to the elements: 0.47 eV per formula unit

Geometry as extended XYZ:
```
12
Lattice="3.107 -5.375 0.000 3.107 5.375 0.000 -2.072 0.000 11.700" Properties=species:S:1:pos:R:3 pbc="T T T"
Sm 1.036 1.792 2.902
Sm -0.003 0.000 8.800
Sm 1.036 -1.792 2.902
Sm 3.105 1.792 8.799
Sm 4.144 0.000 2.900
Sm 3.105 -1.792 8.799
Er 2.071 0.000 5.850
Tm 2.071 3.583 5.850
Tm 2.071 -3.583 5.850
Th 0.000 0.000 0.000
Th 3.107 1.791 0.000
Th 3.107 -1.791 0.000
```

12.
Sm2ErTm2Th2: optimized geometry, GGA-PBE.

## Properties
- Crystal system: monoclinic
- Symmetry: C2/m (12)
- Energy relative to the elements: 1.19 eV per formula unit

Geometry as extended XYZ:
```
7
Lattice="8.835 -1.725 0.000 8.835 1.725 0.000 -3.977 0.000 7.506" Properties=species:S:1:pos:R:3 pbc="T T T"
Sm 1.074 0.000 2.827
Sm 12.618 0.000 4.679
Er 6.846 0.000 3.753
Tm 4.328 0.000 1.505
Tm 9.364 0.000 6.001
Th -2.431 0.000 6.791
Th 16.124 0.000 0.716
```

13.
Sm4Er2TmTh: optimized geometry, GGA-PBE.

## Properties
- Crystal system: tetragonal
- Symmetry: P4/mmm (123)
- Energy relative to the elements: 0.25 eV per formula unit

Geometry as extended XYZ:
```
8
Lattice="5.047 0.000 0.000 0.000 5.047 0.000 0.000 0.000 10.144" Properties=species:S:1:pos:R:3 pbc="T T T"
Sm 0.000 2.524 2.531
Sm 0.000 2.524 7.613
Sm 2.524 0.000 2.531
Sm 2.524 0.000 7.613
Er 0.000 0.000 0.000
Er 2.524 2.524 5.072
Tm 0.000 0.000 5.072
Th 2.524 2.524 0.000
```

14.
SmErTmTh2: optimized geometry, GGA-PBE.

## Properties
- Crystal system: orthorhombic
- Symmetry: Cmcm (63)
- Energy relative to the elements: 2.16 eV per formula unit

Geometry as extended XYZ:
```
10
Lattice="3.318 -7.799 0.000 3.318 7.799 0.000 0.000 0.000 6.640" Properties=species:S:1:pos:R:3 pbc="T T T"
Sm 3.318 5.409 4.980
Sm 3.318 -5.409 1.660
Er 3.318 3.905 1.660
Er 3.318 -3.905 4.980
Tm 3.318 2.360 4.980
Tm 3.318 -2.360 1.660
Th 1.666 0.000 0.000
Th 1.666 0.000 3.320
Th 4.971 0.000 0.000
Th 4.971 0.000 3.320
```

15.
Sm3Er2Tm6Th: optimized geometry, GGA-PBE.

## Properties
- Crystal system: monoclinic
- Symmetry: C2/m (12)
- Energy relative to the elements: 0.26 eV per formula unit

Geometry as extended XYZ:
```
12
Lattice="3.065 -5.308 0.000 3.065 5.308 0.000 -2.048 0.000 11.491" Properties=species:S:1:pos:R:3 pbc="T T T"
Sm 0.000 0.000 0.000
Sm 3.065 1.776 0.000
Sm 3.065 -1.776 0.000
Er 2.041 3.538 5.746
Er 2.041 -3.538 5.746
Tm 1.027 1.752 2.904
Tm 0.020 0.000 8.586
Tm 1.027 -1.752 2.904
Tm 3.054 1.752 8.587
Tm 4.062 0.000 2.905
Tm 3.054 -1.752 8.587
Th 2.041 0.000 5.746
```

16.
Sm2Er4TmTh: optimized geometry, GGA-PBE.

## Properties
- Crystal system: tetragonal
- Symmetry: P4/mmm (123)
- Energy relative to the elements: 0.97 eV per formula unit

Geometry as extended XYZ:
```
8
Lattice="5.832 0.000 0.000 0.000 5.832 0.000 0.000 0.000 7.456" Properties=species:S:1:pos:R:3 pbc="T T T"
Sm 0.000 0.000 0.000
Sm 2.916 2.916 3.728
Er 0.000 2.916 1.854
Er 0.000 2.916 5.602
Er 2.916 0.000 1.854
Er 2.916 0.000 5.602
Tm 2.916 2.916 0.000
Th 0.000 0.000 3.728
```

17.
Sm3Er6Tm2Th: optimized geometry, GGA-PBE.

## Properties
- Crystal system: monoclinic
- Symmetry: C2/m (12)
- Energy relative to the elements: 0.24 eV per formula unit

Geometry as extended XYZ:
```
12
Lattice="3.069 -5.315 0.000 3.069 5.315 0.000 -2.052 0.000 11.539" Properties=species:S:1:pos:R:3 pbc="T T T"
Sm 0.000 0.000 0.000
Sm 3.069 1.777 0.000
Sm 3.069 -1.777 0.000
Er 1.026 1.756 2.920
Er 0.018 0.000 8.619
Er 1.026 -1.756 2.920
Er 3.059 1.756 8.620
Er 4.067 0.000 2.920
Er 3.059 -1.756 8.620
Tm 2.043 3.542 5.770
Tm 2.043 -3.542 5.770
Th 2.043 0.000 5.770
```

18.
Sm6Y3ErTh2: optimized geometry, GGA-PBE.

## Properties
- Crystal system: monoclinic
- Symmetry: C2/m (12)
- Energy relative to the elements: 0.39 eV per formula unit

Geometry as extended XYZ:
```
12
Lattice="3.113 -5.387 0.000 3.113 5.387 0.000 -2.080 0.000 11.779" Properties=species:S:1:pos:R:3 pbc="T T T"
Sm -0.012 1.809 8.872
Sm 1.018 0.000 2.911
Sm -0.012 -1.809 8.872
Sm 4.158 1.809 2.907
Sm 3.128 0.000 8.868
Sm 4.158 -1.809 2.907
Y -1.040 0.000 5.889
Y 2.073 1.796 5.889
Y 2.073 -1.796 5.889
Er 3.113 0.000 0.000
Th 3.113 3.593 0.000
Th 3.113 -3.593 0.000
```

19.
Sm2Y6Er3Th: optimized geometry, GGA-PBE.

## Properties
- Crystal system: monoclinic
- Symmetry: C2/m (12)
- Energy relative to the elements: 0.38 eV per formula unit

Geometry as extended XYZ:
```
12
Lattice="3.095 -5.355 0.000 3.095 5.355 0.000 -2.061 0.000 11.626" Properties=species:S:1:pos:R:3 pbc="T T T"
Sm 3.095 3.571 0.000
Sm 3.095 -3.571 0.000
Y 0.006 1.767 8.704
Y 1.059 0.000 2.923
Y 0.006 -1.767 8.704
Y 4.123 1.767 2.922
Y 3.069 0.000 8.702
Y 4.123 -1.767 2.922
Er -1.030 0.000 5.813
Er 2.064 1.791 5.813
Er 2.064 -1.791 5.813
Th 3.095 0.000 0.000
```

20.
Sm2Y3Er6Th: optimized geometry, GGA-PBE.

## Properties
- Crystal system: monoclinic
- Symmetry: C2/m (12)
- Energy relative to the elements: 0.36 eV per formula unit

Geometry as extended XYZ:
```
12
Lattice="3.081 -5.332 0.000 3.081 5.332 0.000 -2.054 0.000 11.560" Properties=species:S:1:pos:R:3 pbc="T T T"
Sm 3.081 3.556 0.000
Sm 3.081 -3.556 0.000
Y -1.027 0.000 5.780
Y 2.055 1.783 5.780
Y 2.055 -1.783 5.780
Er 0.006 1.758 8.676
Er 1.056 0.000 2.885
Er 0.006 -1.758 8.676
Er 4.103 1.758 2.884
Er 3.053 0.000 8.675
Er 4.103 -1.758 2.884
Th 3.081 0.000 0.000
```

21.
SmY5Er2Th: optimized geometry, GGA-PBE.

## Properties
- Crystal system: orthorhombic
- Symmetry: Cmc2_1 (36)
- Energy relative to the elements: 1.45 eV per formula unit

Geometry as extended XYZ:
```
18
Lattice="2.872 -10.664 0.000 2.872 10.664 0.000 0.000 0.000 9.729" Properties=species:S:1:pos:R:3 pbc="T T T"
Sm 2.872 8.604 4.864
Sm 2.872 -8.604 0.000
Y 2.872 10.068 1.763
Y 2.872 8.309 8.627
Y 2.872 6.492 2.074
Y 2.872 5.687 5.729
Y 2.872 0.290 8.859
Y 2.872 -0.290 3.994
Y 2.872 -5.687 0.865
Y 2.872 -6.492 6.938
Y 2.872 -8.309 3.763
Y 2.872 -10.068 6.627
Er 2.872 2.786 2.091
Er 2.872 2.398 5.860
Er 2.872 -2.398 0.996
Er 2.872 -2.786 6.955
Th 2.872 4.029 8.770
Th 2.872 -4.029 3.905
```